(1)
# Sc2ReW | Alexandria | GGA-PBE | relaxed
data_Sc2ReW
_space_group_name_H-M_alt 'P 1'
_space_group_IT_number 1
_cell_length_a 4.632
_cell_length_b 4.632
_cell_length_c 4.632
_cell_angle_alpha 60.00
_cell_angle_beta 60.00
_cell_angle_gamma 60.00
loop_
_space_group_symop_operation_xyz
'x,y,z'
loop_
_atom_site_label
_atom_site_type_symbol
_atom_site_fract_x
_atom_site_fract_y
_atom_site_fract_z
_atom_site_occupancy
Re1 Re 0.500 0.500 0.500 1
Sc1 Sc 0.000 0.000 0.000 1
Sc2 Sc 0.250 0.250 0.250 1
W1 W 0.750 0.750 0.750 1
# density = 10.87 g cm⁻³
# symmetry = F-43m
# calculated formation energy = 0.067 eV per atom
# density of states at the Fermi level = 6.617 states/eV per cell



(2)
# SnSCl2 | Alexandria | GGA-PBE | relaxed
data_SnSCl2
_space_group_name_H-M_alt 'P 1'
_space_group_IT_number 1
_cell_length_a 9.831
_cell_length_b 9.831
_cell_length_c 7.397
_cell_angle_alpha 48.35
_cell_angle_beta 48.35
_cell_angle_gamma 90.00
loop_
_space_group_symop_operation_xyz
'x,y,z'
loop_
_atom_site_label
_atom_site_type_symbol
_atom_site_fract_x
_atom_site_fract_y
_atom_site_fract_z
_atom_site_occupancy
S1 S 0.500 0.500 0.000 1
S2 S 0.250 0.750 0.500 1
Sn1 Sn 0.000 0.000 0.000 1
Sn2 Sn 0.750 0.250 0.500 1
Cl1 Cl 0.781 0.125 0.250 1
Cl2 Cl 0.969 0.625 0.250 1
Cl3 Cl 0.375 0.219 0.750 1
Cl4 Cl 0.875 0.031 0.750 1
# density = 3.01 g cm⁻³
# symmetry = I-42d
# density of states at the Fermi level = 8.214 states/eV per cell
# E_form (uncorrected) = -0.239 eV/atom



The highest density belongs to which entry?
Sc2ReW



What is the density in the first record?
10.87 g cm⁻³



density of states at the Fermi level of number 2 (SnSCl2)?
8.214 states/eV per cell